No. 1
Compound: PrIn2Pt
Source: Alexandria
Functional: PBE
Structure: optimized geometry

The value obtained for the electronic total energy is -153.17 eV for the cell shown. The calculation puts the density of states at the Fermi level at 2.46 states/eV/f.u. The energy of formation comes out at -0.71 eV/atom.

Cell: 16.988 7.636 5.863 Å, 90.00 90.00 90.00°
Space group Pnma (No. 62)
Inequivalent atoms, fractional coordinates:
Pr (0.106, 0.250, 0.233) x4
Pr (0.145, 0.750, 0.471) x4
In (0.033, 0.049, 0.739) x8
In (0.215, 0.551, 0.972) x8
Pt (0.073, 0.750, 0.989) x4
Pt (0.172, 0.250, 0.729) x4

***

No. 2
Compound: PrIn3Pt3
Source: Alexandria
Functional: PBE
Structure: optimized geometry

The value obtained for the electronic total energy is -210.18 eV for the cell shown. The calculation puts the density of states at the Fermi level at 2.62 states/eV/f.u. For the energy above the most stable polymorph in this dataset, the calculation gives 66 meV/atom. The energy of formation comes out at -0.56 eV/atom.

Cell: 8.2764 8.2764 16.5218 Å, 90.00 90.00 120.00°
Space group R-3 (No. 148, hexagonal axes)
Inequivalent atoms, fractional coordinates:
Pr (0.0000, 0.0000, 0.1703) x6
In (0.0073, 0.6870, 0.6194) x18
Pt (0.0019, 0.7064, 0.4479) x18